1.
This record from the Alexandria database describes a geometry-optimized Li4HoAl structure. The functional is GGA-PBE.

Summary:
DFT formation energy ... -0.038 eV/atom
Mass density ... 3.28 g/cm3
Total DFT energy (no corrections) ... -2.701 eV per atom
Size of the total moment ... 0.0 Bohr magnetons per cell

Cell: 7.6371 7.6371 7.6371 Å, 90.00 90.00 90.00°
Space group F-43m (No. 216)
Unique sites:
Li (0.1236, 0.1236, 0.1236)
Ho (0.0000, 0.0000, 0.5000)
Al (0.2500, 0.2500, 0.7500)

***

2.
This record from the Alexandria database describes a geometry-optimized Ta2Br structure. The functional is GGA-PBE.

Summary:
Mass density ... 11.80 g/cm3
Total DFT energy (no corrections) ... -8.126 eV per atom
Uncorrected formation energy ... 0.33 eV per atom
Excess energy over the best structure of this formula in the dataset ... 0.92 eV per formula unit
Size of the total moment ... 0.0 Bohr magnetons per cell

Cell: 3.3234 3.3234 6.5009 Å, 90.00 90.00 120.00°
Space group P-3m1 (No. 164)
Unique sites:
Ta (0.3333, 0.6667, 0.3572)
Br (0.0000, 0.0000, 0.0000)

***

3.
This record from the Alexandria database describes a geometry-optimized YTcRu2 structure. The functional is GGA-PBE.

Summary:
DFT formation energy ... 0.225 eV/atom
Mass density ... 9.29 g/cm3
Total DFT energy (no corrections) ... -8.621 eV per atom
Excess energy over the best structure of this formula in the dataset ... 0.56 eV per formula unit
Size of the total moment ... 0.0 Bohr magnetons per cell

Cell: 2.8879 3.7396 6.4370 Å, 90.00 90.00 90.00°
Space group Pmm2 (No. 25)
Unique sites:
Y (0.0000, 0.0000, 0.0000)
Tc (0.5000, 0.5000, 0.6849)
Ru (0.0000, 0.0000, 0.4956)
Ru (0.5000, 0.5000, 0.2900)